Record 1
Here is crystalline FeN2O2 at its relaxed geometry from Alexandria. Energies are from PBE with a Hubbard U.

## Properties
* crystal system: tetragonal
* D(E_F): 3.34 states/eV/cell
* energy above the lowest structure with this stoichiometry: 0.000 eV per formula unit

Lattice parameters (Å, degrees): 3.681 3.681 4.269 90.00 90.00 90.00
Space group P4/mmm (No. 123)
One atom of each set of equivalent atoms:
Fe (0.000, 0.000, 0.000) (multiplicity 1)
N (0.000, 0.000, 0.500) (multiplicity 1)
N (0.500, 0.500, 0.500) (multiplicity 1)
O (0.000, 0.500, 0.000) (multiplicity 2)

=====

Record 2
Here is crystalline Fe2PNO at its relaxed geometry from Alexandria. Energies are from PBE with a Hubbard U.

## Properties
* crystal system: tetragonal
* D(E_F): 2.48 states/eV/cell

Lattice parameters (Å, degrees): 4.072 4.072 3.686 90.00 90.00 90.00
Space group P4/mmm (No. 123)
One atom of each set of equivalent atoms:
Fe (0.000, 0.500, 0.000) (multiplicity 2)
P (0.000, 0.000, 0.500) (multiplicity 1)
N (0.500, 0.500, 0.000) (multiplicity 1)
O (0.500, 0.500, 0.500) (multiplicity 1)

=====

Record 3
Here is crystalline Pa3FeN2O6 at its relaxed geometry from Alexandria. Energies are from PBE with a Hubbard U.

## Properties
* crystal system: monoclinic

Lattice parameters (Å, degrees): 11.005 6.950 4.656 90.00 91.51 90.00
Space group C2/m (No. 12)
One atom of each set of equivalent atoms:
Pa (0.000, 0.000, 0.000) (multiplicity 2)
Pa (0.250, 0.250, 0.500) (multiplicity 4)
Fe (0.000, 0.500, 0.500) (multiplicity 2)
N (0.167, 0.000, 0.263) (multiplicity 4)
O (0.080, 0.254, 0.741) (multiplicity 8)
O (0.156, 0.500, 0.304) (multiplicity 4)

=====

Record 4
Here is crystalline FePbNO2 at its relaxed geometry from Alexandria. Energies are from PBE with a Hubbard U.

## Properties
* crystal system: tetragonal
* D(E_F): 2.61 states/eV/cell

Lattice parameters (Å, degrees): 3.916 3.916 4.026 90.00 90.00 90.00
Space group P4/mmm (No. 123)
One atom of each set of equivalent atoms:
Fe (0.000, 0.000, 0.000) (multiplicity 1)
Pb (0.500, 0.500, 0.500) (multiplicity 1)
N (0.000, 0.000, 0.500) (multiplicity 1)
O (0.000, 0.500, 0.000) (multiplicity 2)

=====

Record 5
Here is crystalline FePbNO2 at its relaxed geometry from Alexandria. Energies are from PBE with a Hubbard U.

## Properties
* crystal system: tetragonal
* D(E_F): 2.74 states/eV/cell

Lattice parameters (Å, degrees): 4.248 4.248 4.266 90.00 90.00 90.00
Space group P4/mmm (No. 123)
One atom of each set of equivalent atoms:
Fe (0.000, 0.000, 0.000) (multiplicity 1)
Pb (0.500, 0.500, 0.500) (multiplicity 1)
N (0.500, 0.500, 0.000) (multiplicity 1)
O (0.000, 0.500, 0.500) (multiplicity 2)

=====

Record 6
Here is crystalline RbFeNO2 at its relaxed geometry from Alexandria. Energies are from PBE with a Hubbard U.

## Properties
* crystal system: tetragonal
* D(E_F): 3.96 states/eV/cell

Lattice parameters (Å, degrees): 4.273 4.273 4.552 90.00 90.00 90.00
Space group P4/mmm (No. 123)
One atom of each set of equivalent atoms:
Rb (0.000, 0.000, 0.000) (multiplicity 1)
Fe (0.500, 0.500, 0.500) (multiplicity 1)
N (0.000, 0.000, 0.500) (multiplicity 1)
O (0.000, 0.500, 0.000) (multiplicity 2)

=====

The records above yield calculated total energy values of -4.8800 -5.1453 -9.1840 -5.7380 -4.8912 -2.6550 eV/atom, respectively.